The following is a GGA-PBE calculation of an optimized crystal structure of CdGa2H6, from Alexandria.

a = 7.064 Å, b = 7.064 Å, c = 7.064 Å
α = 90.00°, β = 90.00°, γ = 90.00°
Space group Fm-3m (No. 225)
One atom of each set of equivalent atoms:
Cd 0.000 0.000 0.000 [4 per cell]
Ga 0.250 0.250 0.250 [8 per cell]
H 0.000 0.000 0.282 [24 per cell]

Computed properties:
Fermi-level density of states	2.52	states/eV/f.u.
calculated total energy	-20.85	eV per formula unit
magnetic moment	0.00	μB per formula unit